*A*
Computed, not measured: crystalline BAs3Cl at its relaxed geometry at the GGA-PBE level of DFT.

abc: 4.508 4.508 4.508
angles: 90.00 90.00 90.00
Space group Pm-3m (No. 221)
Symmetry-distinct sites (fractional):
B  0.000  0.000  0.000 (multiplicity 1)
As  0.000  0.000  0.500 (multiplicity 3)
Cl  0.500  0.500  0.500 (multiplicity 1)

Output
Total magnetization ... 0.0 Bohr magnetons per cell


*B*
Computed, not measured: crystalline BAs3Cl at its relaxed geometry at the GGA-PBE level of DFT.

abc: 4.891 4.891 4.891
angles: 90.00 90.00 90.00
Space group Pm-3m (No. 221)
Symmetry-distinct sites (fractional):
B  0.000  0.000  0.000 (multiplicity 1)
As  0.000  0.500  0.500 (multiplicity 3)
Cl  0.500  0.500  0.500 (multiplicity 1)

Output
Total magnetization ... 0.0 Bohr magnetons per cell


The most stable of them is *A*.


*A*
Computed, not measured: crystalline B3AsCl at its relaxed geometry at the GGA-PBE level of DFT.

abc: 3.943 3.943 3.943
angles: 90.00 90.00 90.00
Space group Pm-3m (No. 221)
Symmetry-distinct sites (fractional):
B  0.000  0.000  0.500 (multiplicity 3)
As  0.500  0.500  0.500 (multiplicity 1)
Cl  0.000  0.000  0.000 (multiplicity 1)

Output
Total magnetization ... 0.0 Bohr magnetons per cell


*B*
Computed, not measured: crystalline B3AsCl at its relaxed geometry at the GGA-PBE level of DFT.

abc: 4.273 4.273 4.273
angles: 90.00 90.00 90.00
Space group Pm-3m (No. 221)
Symmetry-distinct sites (fractional):
B  0.000  0.000  0.500 (multiplicity 3)
As  0.000  0.000  0.000 (multiplicity 1)
Cl  0.500  0.500  0.500 (multiplicity 1)

Output
Total magnetization ... 0.0 Bohr magnetons per cell


The most stable of them is *B*.


*A*
Computed, not measured: crystalline B2AsCl at its relaxed geometry at the GGA-PBE level of DFT.

abc: 5.322 5.322 8.946
angles: 90.00 90.00 90.00
Space group I-42d (No. 122)
Symmetry-distinct sites (fractional):
B  0.196  0.250  0.125 (multiplicity 8)
As  0.000  0.000  0.000 (multiplicity 4)
Cl  0.000  0.000  0.500 (multiplicity 4)

Output
Total magnetization ... 0.0 Bohr magnetons per cell


*B*
Computed, not measured: crystalline B2AsCl at its relaxed geometry at the GGA-PBE level of DFT.

abc: 6.015 6.015 6.015
angles: 90.00 90.00 90.00
Space group Fm-3m (No. 225)
Symmetry-distinct sites (fractional):
B  0.250  0.250  0.250 (multiplicity 8)
As  0.000  0.000  0.000 (multiplicity 4)
Cl  0.000  0.000  0.500 (multiplicity 4)

Output
Total magnetization ... 0.0 Bohr magnetons per cell


The most stable of them is *A*.


*A*
Computed, not measured: crystalline BAsPCl2 at its relaxed geometry at the GGA-PBE level of DFT.

abc: 4.964 4.964 4.944
angles: 90.00 90.00 90.00
Space group P4/mmm (No. 123)
Symmetry-distinct sites (fractional):
B  0.000  0.000  0.000 (multiplicity 1)
As  0.500  0.500  0.500 (multiplicity 1)
P  0.500  0.500  0.000 (multiplicity 1)
Cl  0.000  0.500  0.500 (multiplicity 2)

Output
Total magnetization ... 0.7 Bohr magnetons per cell


*B*
Computed, not measured: crystalline BAsPCl2 at its relaxed geometry at the GGA-PBE level of DFT.

abc: 4.189 4.189 4.633
angles: 90.00 90.00 90.00
Space group P4/mmm (No. 123)
Symmetry-distinct sites (fractional):
B  0.000  0.000  0.000 (multiplicity 1)
As  0.500  0.500  0.500 (multiplicity 1)
P  0.000  0.000  0.500 (multiplicity 1)
Cl  0.000  0.500  0.000 (multiplicity 2)

Output
Total magnetization ... 0.0 Bohr magnetons per cell


The most stable of them is *B*.


*A*
Computed, not measured: crystalline BAsS2Cl at its relaxed geometry at the GGA-PBE level of DFT.

abc: 4.746 4.746 5.005
angles: 90.00 90.00 90.00
Space group P4/mmm (No. 123)
Symmetry-distinct sites (fractional):
B  0.000  0.000  0.000 (multiplicity 1)
As  0.500  0.500  0.500 (multiplicity 1)
S  0.000  0.500  0.500 (multiplicity 2)
Cl  0.500  0.500  0.000 (multiplicity 1)

Output
Total magnetization ... 0.0 Bohr magnetons per cell


*B*
Computed, not measured: crystalline BAsS2Cl at its relaxed geometry at the GGA-PBE level of DFT.

abc: 4.354 4.354 4.111
angles: 90.00 90.00 90.00
Space group P4/mmm (No. 123)
Symmetry-distinct sites (fractional):
B  0.000  0.000  0.000 (multiplicity 1)
As  0.500  0.500  0.500 (multiplicity 1)
S  0.000  0.500  0.000 (multiplicity 2)
Cl  0.000  0.000  0.500 (multiplicity 1)

Output
Total magnetization ... 0.0 Bohr magnetons per cell


*C*
Computed, not measured: crystalline BAsS2Cl at its relaxed geometry at the GGA-PBE level of DFT.

abc: 4.947 4.947 3.755
angles: 90.00 90.00 90.00
Space group P4/mmm (No. 123)
Symmetry-distinct sites (fractional):
B  0.000  0.000  0.000 (multiplicity 1)
As  0.500  0.500  0.000 (multiplicity 1)
S  0.000  0.500  0.500 (multiplicity 2)
Cl  0.000  0.000  0.500 (multiplicity 1)

Output
Total magnetization ... 0.0 Bohr magnetons per cell


The most stable of them is *B*.


*A*
Computed, not measured: crystalline BAs2SeCl at its relaxed geometry at the GGA-PBE level of DFT.

abc: 4.571 4.571 4.422
angles: 90.00 90.00 90.00
Space group P4/mmm (No. 123)
Symmetry-distinct sites (fractional):
B  0.000  0.000  0.000 (multiplicity 1)
As  0.000  0.500  0.000 (multiplicity 2)
Se  0.000  0.000  0.500 (multiplicity 1)
Cl  0.500  0.500  0.500 (multiplicity 1)

Output
Total magnetization ... 0.0 Bohr magnetons per cell


*B*
Computed, not measured: crystalline BAs2SeCl at its relaxed geometry at the GGA-PBE level of DFT.

abc: 4.851 4.851 5.252
angles: 90.00 90.00 90.00
Space group P4/mmm (No. 123)
Symmetry-distinct sites (fractional):
B  0.000  0.000  0.000 (multiplicity 1)
As  0.000  0.500  0.500 (multiplicity 2)
Se  0.500  0.500  0.000 (multiplicity 1)
Cl  0.500  0.500  0.500 (multiplicity 1)

Output
Total magnetization ... 1.0 Bohr magnetons per cell


The most stable of them is *A*.


*A*
Computed, not measured: crystalline CoB2AsPb at its relaxed geometry at the GGA-PBE level of DFT.

abc: 3.919 3.919 5.375
angles: 90.00 90.00 90.00
Space group P4/mmm (No. 123)
Symmetry-distinct sites (fractional):
Co  0.000  0.000  0.000 (multiplicity 1)
B  0.000  0.500  0.000 (multiplicity 2)
As  0.500  0.500  0.500 (multiplicity 1)
Pb  0.000  0.000  0.500 (multiplicity 1)

Output
Total magnetization ... 0.0 Bohr magnetons per cell


*B*
Computed, not measured: crystalline CoB2AsPb at its relaxed geometry at the GGA-PBE level of DFT.

abc: 4.442 4.442 5.637
angles: 90.00 90.00 90.00
Space group P4/mmm (No. 123)
Symmetry-distinct sites (fractional):
Co  0.000  0.000  0.000 (multiplicity 1)
B  0.000  0.500  0.500 (multiplicity 2)
As  0.500  0.500  0.000 (multiplicity 1)
Pb  0.500  0.500  0.500 (multiplicity 1)

Output
Total magnetization ... 0.1 Bohr magnetons per cell


The most stable of them is *A*.


*A*
Computed, not measured: crystalline CoBAsSe2 at its relaxed geometry at the GGA-PBE level of DFT.

abc: 4.540 4.540 4.134
angles: 90.00 90.00 90.00
Space group P4/mmm (No. 123)
Symmetry-distinct sites (fractional):
Co  0.000  0.000  0.000 (multiplicity 1)
B  0.500  0.500  0.500 (multiplicity 1)
As  0.500  0.500  0.000 (multiplicity 1)
Se  0.000  0.500  0.500 (multiplicity 2)

Output
Total magnetization ... 1.8 Bohr magnetons per cell


*B*
Computed, not measured: crystalline CoBAsSe2 at its relaxed geometry at the GGA-PBE level of DFT.

abc: 4.841 4.841 4.310
angles: 90.00 90.00 90.00
Space group P4/mmm (No. 123)
Symmetry-distinct sites (fractional):
Co  0.000  0.000  0.000 (multiplicity 1)
B  0.500  0.500  0.500 (multiplicity 1)
As  0.000  0.000  0.500 (multiplicity 1)
Se  0.000  0.500  0.000 (multiplicity 2)

Output
Total magnetization ... 0.0 Bohr magnetons per cell


The most stable of them is *A*.


*A*
Computed, not measured: crystalline Cr3BAs at its relaxed geometry at the GGA-PBE level of DFT.

abc: 4.297 4.297 4.297
angles: 90.00 90.00 90.00
Space group Pm-3m (No. 221)
Symmetry-distinct sites (fractional):
Cr  0.000  0.000  0.500 (multiplicity 3)
B  0.500  0.500  0.500 (multiplicity 1)
As  0.000  0.000  0.000 (multiplicity 1)

Output
Total magnetization ... 0.0 Bohr magnetons per cell


*B*
Computed, not measured: crystalline Cr3BAs at its relaxed geometry at the GGA-PBE level of DFT.

abc: 3.904 3.904 3.904
angles: 90.00 90.00 90.00
Space group Pm-3m (No. 221)
Symmetry-distinct sites (fractional):
Cr  0.000  0.000  0.500 (multiplicity 3)
B  0.000  0.000  0.000 (multiplicity 1)
As  0.500  0.500  0.500 (multiplicity 1)

Output
Total magnetization ... 1.6 Bohr magnetons per cell


The most stable of them is *B*.


*A*
Computed, not measured: crystalline CrBAs2Se at its relaxed geometry at the GGA-PBE level of DFT.

abc: 4.305 4.305 4.417
angles: 90.00 90.00 90.00
Space group P4/mmm (No. 123)
Symmetry-distinct sites (fractional):
Cr  0.000  0.000  0.000 (multiplicity 1)
B  0.500  0.500  0.500 (multiplicity 1)
As  0.000  0.500  0.500 (multiplicity 2)
Se  0.500  0.500  0.000 (multiplicity 1)

Output
Total magnetization ... 0.0 Bohr magnetons per cell


*B*
Computed, not measured: crystalline CrBAs2Se at its relaxed geometry at the GGA-PBE level of DFT.

abc: 4.620 4.620 4.807
angles: 90.00 90.00 90.00
Space group P4/mmm (No. 123)
Symmetry-distinct sites (fractional):
Cr  0.000  0.000  0.000 (multiplicity 1)
B  0.500  0.500  0.500 (multiplicity 1)
As  0.000  0.500  0.000 (multiplicity 2)
Se  0.000  0.000  0.500 (multiplicity 1)

Output
Total magnetization ... 1.3 Bohr magnetons per cell


The most stable of them is *A*.


*A*
Computed, not measured: crystalline CsB3As at its relaxed geometry at the GGA-PBE level of DFT.

abc: 4.530 4.530 4.530
angles: 90.00 90.00 90.00
Space group Pm-3m (No. 221)
Symmetry-distinct sites (fractional):
Cs  0.000  0.000  0.000 (multiplicity 1)
B  0.000  0.500  0.500 (multiplicity 3)
As  0.500  0.500  0.500 (multiplicity 1)

Output
Total magnetization ... 0.0 Bohr magnetons per cell


*B*
Computed, not measured: crystalline CsB3As at its relaxed geometry at the GGA-PBE level of DFT.

abc: 4.910 4.910 4.910
angles: 90.00 90.00 90.00
Space group Pm-3m (No. 221)
Symmetry-distinct sites (fractional):
Cs  0.000  0.000  0.000 (multiplicity 1)
B  0.000  0.000  0.500 (multiplicity 3)
As  0.500  0.500  0.500 (multiplicity 1)

Output
Total magnetization ... 0.0 Bohr magnetons per cell


The most stable of them is *A*.


*A*
Computed, not measured: crystalline CsBAs2Se at its relaxed geometry at the GGA-PBE level of DFT.

abc: 4.693 4.693 5.169
angles: 90.00 90.00 90.00
Space group P4/mmm (No. 123)
Symmetry-distinct sites (fractional):
Cs  0.000  0.000  0.000 (multiplicity 1)
B  0.500  0.500  0.500 (multiplicity 1)
As  0.000  0.500  0.500 (multiplicity 2)
Se  0.500  0.500  0.000 (multiplicity 1)

Output
Total magnetization ... 0.0 Bohr magnetons per cell


*B*
Computed, not measured: crystalline CsBAs2Se at its relaxed geometry at the GGA-PBE level of DFT.

abc: 6.016 6.016 6.065
angles: 90.00 90.00 90.00
Space group P4/mmm (No. 123)
Symmetry-distinct sites (fractional):
Cs  0.000  0.000  0.000 (multiplicity 1)
B  0.500  0.500  0.500 (multiplicity 1)
As  0.000  0.500  0.000 (multiplicity 2)
Se  0.000  0.000  0.500 (multiplicity 1)

Output
Total magnetization ... 2.7 Bohr magnetons per cell


The most stable of them is *A*.